PBE LiTmGaPb, relaxed; formation energy from the elements = -1.3 eV/f.u.; total energy = -3.600 eV/atom; space group = F-43m
1.0
7.1538 0.0000 0.0000
0.0000 7.1538 0.0000
0.0000 0.0000 7.1538
Li Tm Ga Pb
4 4 4 4
Cartesian
0.0000 0.0000 0.0000
0.0000 3.5769 3.5769
3.5769 0.0000 3.5769
3.5769 3.5769 0.0000
0.0000 0.0000 3.5769
0.0000 3.5769 0.0000
3.5769 0.0000 0.0000
3.5769 3.5769 3.5769
1.7884 1.7884 5.3653
1.7884 5.3653 1.7884
5.3653 1.7884 1.7884
5.3653 5.3653 5.3653
1.7884 1.7884 1.7884
1.7884 5.3653 5.3653
5.3653 1.7884 5.3653
5.3653 5.3653 1.7884